DFT (PBE) results for crystalline La5TlSe8 at its relaxed geometry.

Properties
**SG**: F-43m (216)
**ΔE_f (raw)**: -1.773 eV per atom
**Uncorrected energy**: -79.7 eV/cell

Cell lengths 8.9673, 8.9673, 8.9673 Å; angles 60.00, 60.00, 60.00 degrees
Atoms (fractional coordinates):
La (0.0000, 0.0000, 0.0000)
La (0.1351, 0.6216, 0.6216)
La (0.6216, 0.1351, 0.6216)
La (0.6216, 0.6216, 0.1351)
La (0.6216, 0.6216, 0.6216)
Tl (0.2500, 0.2500, 0.2500)
Se (0.3898, 0.3898, 0.3898)
Se (0.3898, 0.3898, 0.8305)
Se (0.3898, 0.8305, 0.3898)
Se (0.3989, 0.8670, 0.8670)
Se (0.8305, 0.3898, 0.3898)
Se (0.8670, 0.3989, 0.8670)
Se (0.8670, 0.8670, 0.3989)
Se (0.8670, 0.8670, 0.8670)